1.
Density functional theory data (PBE-GGA) for an optimized crystal structure of TcP2SN.

Cell: 3.892 3.892 4.111 Å, 90.00 90.00 90.00°
Element x y z (fractional)
S (0.000, 0.000, 0.500)
P (0.000, 0.500, 0.000)
P (0.500, 0.000, 0.000)
Tc (0.500, 0.500, 0.500)
N (0.000, 0.000, 0.000)

Calculated values
The formation energy (no corrections) is 0.9233 eV/atom. Its total moment is 0.120 μB/f.u. The calculated volume comes out at 12.46 Å³/atom.

***

2.
Density functional theory data (PBE-GGA) for an optimized crystal structure of TcPS2N.

Cell: 4.076 4.076 3.835 Å, 90.00 90.00 90.00°
Element x y z (fractional)
P (0.000, 0.000, 0.500)
S (0.000, 0.500, 0.000)
S (0.500, 0.000, 0.000)
N (0.000, 0.000, 0.000)
Tc (0.500, 0.500, 0.500)

Calculated values
The formation energy (no corrections) is 1.0646 eV/atom. Its total moment is 0.000 μB/f.u. The calculated volume comes out at 12.74 Å³/atom.

***

3.
Density functional theory data (PBE-GGA) for an optimized crystal structure of TcPS2N.

Cell: 4.624 4.624 3.164 Å, 90.00 90.00 90.00°
Element x y z (fractional)
S (0.000, 0.500, 0.000)
S (0.500, 0.000, 0.000)
N (0.000, 0.000, 0.500)
P (0.000, 0.000, 0.000)
Tc (0.500, 0.500, 0.500)

Calculated values
The formation energy (no corrections) is 0.8094 eV/atom. Its total moment is 1.167 μB/f.u. The calculated volume comes out at 13.53 Å³/atom.

***

4.
Density functional theory data (PBE-GGA) for an optimized crystal structure of Te2PSN.

Cell: 5.499 5.499 3.264 Å, 90.00 90.00 90.00°
Element x y z (fractional)
S (0.500, 0.500, 0.500)
Te (0.500, 0.000, 0.000)
Te (0.000, 0.500, 0.000)
N (0.000, 0.000, 0.500)
P (0.000, 0.000, 0.000)

Calculated values
The formation energy (no corrections) is 0.7203 eV/atom. Its total moment is 0.000 μB/f.u. The calculated volume comes out at 19.73 Å³/atom.